[1]
The following is a GGA-PBE calculation of crystalline Zr2Mn2Ag at its relaxed geometry, from the Alexandria database.

Values from the calculation:
For the uncorrected energy, the calculation gives -38.07 eV/f.u. For the total magnetization, the calculation gives 3.91 μB per formula unit. The crystal system is tetragonal. The symmetry is No. 127. As for the density: 7.4 g cm⁻³. The calculation puts the formation energy at 4.16 kJ/mol of atoms.

Lattice parameters (Å, degrees): 7.102 7.102 3.547 90.00 90.00 90.00
Fractional coordinates of all 10 atoms:
1 Zr 0.170 0.330 0.000
2 Zr 0.330 0.830 0.000
3 Zr 0.670 0.170 0.000
4 Zr 0.830 0.670 0.000
5 Mn 0.125 0.625 0.500
6 Mn 0.375 0.125 0.500
7 Mn 0.625 0.875 0.500
8 Mn 0.875 0.375 0.500
9 Ag 0.000 0.000 0.500
10 Ag 0.500 0.500 0.500

[2]
The following is a GGA-PBE calculation of crystalline Zr2MnAg at its relaxed geometry, from the Alexandria database.

Values from the calculation:
For the uncorrected energy, the calculation gives -28.81 eV/f.u. For the total magnetization, the calculation gives 1.81 μB per formula unit. The crystal system is monoclinic. The symmetry is No. 6. As for the density: 7.4 g cm⁻³. The calculation puts the formation energy at 7.40 kJ/mol of atoms.

Lattice parameters (Å, degrees): 3.170 4.710 5.187 90.00 95.81 90.00
Fractional coordinates of all 4 atoms:
1 Zr 0.000 0.000 0.000
2 Zr 0.146 0.500 0.590
3 Mn 0.595 0.000 0.477
4 Ag 0.553 0.500 0.124

[3]
The following is a GGA-PBE calculation of crystalline Zr2Mn2Ag at its relaxed geometry, from the Alexandria database.

Values from the calculation:
For the uncorrected energy, the calculation gives -37.22 eV/f.u. For the total magnetization, the calculation gives 0.00 μB per formula unit. The crystal system is tetragonal. The symmetry is No. 139. As for the density: 7.5 g cm⁻³. The calculation puts the formation energy at 20.55 kJ/mol of atoms.

Lattice parameters (Å, degrees): 9.155 9.155 9.155 160.15 160.15 28.22
Fractional coordinates of all 5 atoms:
1 Zr 0.118 0.118 0.000
2 Zr 0.882 0.882 0.000
3 Mn 0.250 0.750 0.500
4 Mn 0.750 0.250 0.500
5 Ag 0.500 0.500 0.000

[4]
The following is a GGA-PBE calculation of crystalline ZrMnAg2 at its relaxed geometry, from the Alexandria database.

Values from the calculation:
For the uncorrected energy, the calculation gives -22.65 eV/f.u. For the total magnetization, the calculation gives 3.81 μB per formula unit. The crystal system is trigonal. The symmetry is No. 160. As for the density: 8.1 g cm⁻³. The calculation puts the formation energy at 18.48 kJ/mol of atoms.

Lattice parameters (Å, degrees): 9.586 9.586 9.586 18.10 18.10 18.10
Fractional coordinates of all 4 atoms:
1 Zr 0.000 0.000 0.000
2 Mn 0.749 0.749 0.749
3 Ag 0.244 0.244 0.244
4 Ag 0.493 0.493 0.493

[5]
The following is a GGA-PBE calculation of crystalline ZrMnAg3 at its relaxed geometry, from the Alexandria database.

Values from the calculation:
For the uncorrected energy, the calculation gives -19.23 eV/f.u. For the total magnetization, the calculation gives 5.29 μB per formula unit. The crystal system is cubic. The symmetry is No. 221. As for the density: 5.4 g cm⁻³. The calculation puts the formation energy at 135.82 kJ/mol of atoms.

Lattice parameters (Å, degrees): 5.233 5.233 5.233 90.00 90.00 90.00
Fractional coordinates of all 5 atoms:
1 Zr 0.000 0.000 0.000
2 Mn 0.500 0.500 0.500
3 Ag 0.000 0.000 0.500
4 Ag 0.000 0.500 0.000
5 Ag 0.500 0.000 0.000

[6]
The following is a GGA-PBE calculation of crystalline ZrMnAg2 at its relaxed geometry, from the Alexandria database.

Values from the calculation:
For the uncorrected energy, the calculation gives -23.12 eV/f.u. For the total magnetization, the calculation gives 3.15 μB per formula unit. The crystal system is tetragonal. The symmetry is No. 99. As for the density: 8.3 g cm⁻³. The calculation puts the formation energy at 7.18 kJ/mol of atoms.

Lattice parameters (Å, degrees): 3.012 3.012 8.025 90.00 90.00 90.00
Fractional coordinates of all 4 atoms:
1 Zr 0.000 0.000 0.000
2 Mn 0.500 0.500 0.763
3 Ag 0.000 0.000 0.535
4 Ag 0.500 0.500 0.281

[7]
The following is a GGA-PBE calculation of crystalline Zr2MnAg at its relaxed geometry, from the Alexandria database.

Values from the calculation:
For the uncorrected energy, the calculation gives -28.28 eV/f.u. For the total magnetization, the calculation gives 3.58 μB per formula unit. The crystal system is trigonal. The symmetry is No. 160. As for the density: 7.2 g cm⁻³. The calculation puts the formation energy at 20.25 kJ/mol of atoms.

Lattice parameters (Å, degrees): 10.009 10.009 10.009 17.54 17.54 17.54
Fractional coordinates of all 4 atoms:
1 Zr 0.000 0.000 0.000
2 Zr 0.239 0.239 0.239
3 Mn 0.494 0.494 0.494
4 Ag 0.752 0.752 0.752

[8]
The following is a GGA-PBE calculation of crystalline ZrMnAg at its relaxed geometry, from the Alexandria database.

Values from the calculation:
For the uncorrected energy, the calculation gives -19.83 eV/f.u. For the total magnetization, the calculation gives 3.50 μB per formula unit. The crystal system is trigonal. The symmetry is No. 156. As for the density: 7.5 g cm⁻³. The calculation puts the formation energy at 23.92 kJ/mol of atoms.

Lattice parameters (Å, degrees): 3.014 3.014 7.110 90.00 90.00 120.00
Fractional coordinates of all 3 atoms:
1 Zr 0.000 0.000 0.000
2 Mn 0.333 0.667 0.676
3 Ag 0.667 0.333 0.361

[9]
The following is a GGA-PBE calculation of crystalline ZrMnAg at its relaxed geometry, from the Alexandria database.

Values from the calculation:
For the uncorrected energy, the calculation gives -18.82 eV/f.u. For the total magnetization, the calculation gives 2.32 μB per formula unit. The crystal system is cubic. The symmetry is No. 216. As for the density: 6.9 g cm⁻³. The calculation puts the formation energy at 56.39 kJ/mol of atoms.

Lattice parameters (Å, degrees): 4.416 4.416 4.416 60.00 60.00 60.00
Fractional coordinates of all 3 atoms:
1 Zr 0.000 0.000 0.000
2 Mn 0.750 0.750 0.750
3 Ag 0.500 0.500 0.500

[10]
The following is a GGA-PBE calculation of crystalline Zr2MnAg at its relaxed geometry, from the Alexandria database.

Values from the calculation:
For the uncorrected energy, the calculation gives -28.42 eV/f.u. For the total magnetization, the calculation gives 0.64 μB per formula unit. The crystal system is monoclinic. The symmetry is No. 12. As for the density: 7.4 g cm⁻³. The calculation puts the formation energy at 16.77 kJ/mol of atoms.

Lattice parameters (Å, degrees): 3.320 3.320 8.560 98.53 98.53 56.33
Fractional coordinates of all 4 atoms:
1 Zr 0.245 0.245 0.216
2 Zr 0.755 0.755 0.784
3 Mn 0.500 0.500 0.000
4 Ag 0.000 0.000 0.500

[11]
The following is a GGA-PBE calculation of crystalline ZrMnAg2 at its relaxed geometry, from the Alexandria database.

Values from the calculation:
For the uncorrected energy, the calculation gives -22.76 eV/f.u. For the total magnetization, the calculation gives 3.51 μB per formula unit. The crystal system is orthorhombic. The symmetry is No. 47. As for the density: 8.2 g cm⁻³. The calculation puts the formation energy at 15.91 kJ/mol of atoms.

Lattice parameters (Å, degrees): 2.936 4.107 6.068 90.00 90.00 90.00
Fractional coordinates of all 4 atoms:
1 Zr 0.000 0.000 0.000
2 Mn 0.000 0.000 0.500
3 Ag 0.500 0.500 0.267
4 Ag 0.500 0.500 0.733

[12]
The following is a GGA-PBE calculation of crystalline ZrMnAg2 at its relaxed geometry, from the Alexandria database.

Values from the calculation:
For the uncorrected energy, the calculation gives -22.43 eV/f.u. For the total magnetization, the calculation gives 4.02 μB per formula unit. The crystal system is tetragonal. The symmetry is No. 123. As for the density: 8.0 g cm⁻³. The calculation puts the formation energy at 23.99 kJ/mol of atoms.

Lattice parameters (Å, degrees): 4.974 4.974 3.048 90.00 90.00 90.00
Fractional coordinates of all 4 atoms:
1 Zr 0.000 0.000 0.000
2 Mn 0.500 0.500 0.000
3 Ag 0.000 0.500 0.500
4 Ag 0.500 0.000 0.500

Question: Which value of uncorrected energy does entry 3 give?
Answer: -37.22 eV/f.u.

Question: What is the formula in the ninth record?
Answer: ZrMnAg

Question: What is the uncorrected energy in the eleventh record?
Answer: -22.76 eV/f.u.

Question: Which formula does entry 8 have?
Answer: ZrMnAg